#1
NaV3Cu: optimized geometry, PBE-GGA.

Structure (POSCAR):
```
NaV3Cu
1.0
4.7242 0.0000 0.0000
0.0000 4.7242 0.0000
0.0000 0.0000 4.7242
Na V Cu
1 3 1
direct
0.0000 0.0000 0.0000 Na
0.0000 0.5000 0.5000 V
0.5000 0.0000 0.5000 V
0.5000 0.5000 0.0000 V
0.5000 0.5000 0.5000 Cu
```

Properties
The space-group type is Pm-3m (221).

#2
NaV3Cu: optimized geometry, PBE-GGA.

Structure (POSCAR):
```
NaV3Cu
1.0
4.4179 0.0000 0.0000
0.0000 4.4179 0.0000
0.0000 0.0000 4.4179
Na V Cu
1 3 1
direct
0.0000 0.0000 0.0000 Na
0.0000 0.0000 0.5000 V
0.0000 0.5000 0.0000 V
0.5000 0.0000 0.0000 V
0.5000 0.5000 0.5000 Cu
```

Properties
The space-group type is Pm-3m (221).

Which is more stable than every other structure shown? #1 is more stable than every other one.